K2RbHBr: optimized geometry, PBE.

Calculated values
Crystal system: tetragonal
Total energy, eV per cell: -10.97

```
K2RbHBr
1.0
5.513 0.000 0.000
0.000 5.513 0.000
0.000 0.000 6.240
K Rb H Br
2 1 1 1
Direct
0.000 0.500 0.000
0.500 0.000 0.000
0.000 0.000 0.500
0.000 0.000 0.000
0.500 0.500 0.500
```


DyTm5Tl2: optimized geometry, PBE.

Calculated values
Crystal system: orthorhombic
Total energy, eV per cell: -65.11
Formation energy, eV/f.u.: -0.860

```
DyTm5Tl2
1.0
3.575 0.000 0.000
0.000 10.310 0.000
0.000 0.000 12.611
Dy Tm Tl
2 10 4
Direct
0.000 0.000 0.000
0.500 0.500 0.500
0.000 0.229 0.368
0.000 0.229 0.632
0.000 0.500 0.000
0.000 0.771 0.368
0.000 0.771 0.632
0.500 0.000 0.500
0.500 0.271 0.132
0.500 0.271 0.868
0.500 0.729 0.132
0.500 0.729 0.868
0.000 0.500 0.259
0.000 0.500 0.741
0.500 0.000 0.241
0.500 0.000 0.759
```


Ta2Pd5: optimized geometry, PBE.

Calculated values
Crystal system: tetragonal
Total energy, eV per cell: -101.30
Formation energy, eV/f.u.: -0.978

```
Ta2Pd5
1.0
9.156 0.000 0.000
0.000 9.156 0.000
0.000 0.000 2.832
Ta Pd
4 10
Direct
0.183 0.317 0.000
0.317 0.817 0.000
0.683 0.183 0.000
0.817 0.683 0.000
0.000 0.500 0.500
0.060 0.794 0.500
0.206 0.060 0.500
0.294 0.560 0.500
0.440 0.294 0.500
0.500 0.000 0.500
0.560 0.706 0.500
0.706 0.440 0.500
0.794 0.940 0.500
0.940 0.206 0.500
```


DyNbO4: optimized geometry, PBE.

Calculated values
Crystal system: tetragonal
Total energy, eV per cell: -106.33

```
DyNbO4
1.0
-2.625 2.625 5.562
2.625 -2.625 5.562
2.625 2.625 -5.562
Dy Nb O
2 2 8
Direct
0.375 0.125 0.250
0.625 0.875 0.750
0.125 0.375 0.750
0.875 0.625 0.250
0.038 0.211 0.320
0.218 0.538 0.327
0.289 0.109 0.827
0.391 0.718 0.180
0.609 0.282 0.820
0.711 0.891 0.173
0.782 0.462 0.673
0.962 0.789 0.680
```


SmTl2Au: optimized geometry, PBE.

Calculated values
Crystal system: trigonal
Total energy, eV per cell: -36.96
Formation energy, eV/f.u.: 0.410

```
SmTl2Au
1.0
3.556 0.000 0.000
-1.778 3.079 0.000
0.000 0.000 32.419
Sm Tl Au
3 6 3
Direct
0.000 0.000 0.000
0.333 0.667 0.667
0.667 0.333 0.333
0.000 0.000 0.099
0.000 0.000 0.901
0.333 0.667 0.567
0.333 0.667 0.766
0.667 0.333 0.234
0.667 0.333 0.433
0.000 0.000 0.500
0.333 0.667 0.167
0.667 0.333 0.833
```


HfSb2Ir: optimized geometry, PBE.

Calculated values
Crystal system: cubic
Total energy, eV per cell: -107.84

```
HfSb2Ir
1.0
6.867 0.000 0.000
0.000 6.867 0.000
0.000 0.000 6.867
Hf Sb Ir
4 8 4
Direct
0.000 0.000 0.000
0.000 0.500 0.500
0.500 0.000 0.500
0.500 0.500 0.000
0.250 0.250 0.250
0.250 0.250 0.750
0.250 0.750 0.250
0.250 0.750 0.750
0.750 0.250 0.250
0.750 0.250 0.750
0.750 0.750 0.250
0.750 0.750 0.750
0.000 0.000 0.500
0.000 0.500 0.000
0.500 0.000 0.000
0.500 0.500 0.500
```


NaPmGaSi: optimized geometry, PBE.

Calculated values
Crystal system: cubic
Total energy, eV per cell: -60.93

```
NaPmGaSi
1.0
7.125 0.000 0.000
0.000 7.125 0.000
0.000 0.000 7.125
Na Pm Ga Si
4 4 4 4
Direct
0.000 0.000 0.000
0.000 0.500 0.500
0.500 0.000 0.500
0.500 0.500 0.000
0.000 0.000 0.500
0.000 0.500 0.000
0.500 0.000 0.000
0.500 0.500 0.500
0.250 0.250 0.750
0.250 0.750 0.250
0.750 0.250 0.250
0.750 0.750 0.750
0.250 0.250 0.250
0.250 0.750 0.750
0.750 0.250 0.750
0.750 0.750 0.250
```


CoTc2Te: optimized geometry, PBE.

Calculated values
Crystal system: tetragonal
Total energy, eV per cell: -29.47

```
CoTc2Te
1.0
4.389 0.000 0.000
0.000 4.389 0.000
0.000 0.000 3.121
Co Tc Te
1 2 1
Direct
0.000 0.000 0.000
0.000 0.500 0.500
0.500 0.000 0.500
0.500 0.500 0.000
```


Dy3Zn2Pd2: optimized geometry, PBE.

Calculated values
Crystal system: orthorhombic
Total energy, eV per cell: -61.78
Formation energy, eV/f.u.: -4.152

```
Dy3Zn2Pd2
1.0
3.889 0.000 0.000
0.000 21.679 0.000
0.000 0.000 3.652
Dy Zn Pd
6 4 4
Direct
0.000 0.000 0.000
0.000 0.162 0.000
0.000 0.838 0.000
0.500 0.338 0.000
0.500 0.500 0.000
0.500 0.662 0.000
0.000 0.420 0.500
0.000 0.580 0.500
0.500 0.080 0.500
0.500 0.920 0.500
0.000 0.293 0.500
0.000 0.707 0.500
0.500 0.207 0.500
0.500 0.793 0.500
```


Ba2Sr4Sb3F2: optimized geometry, PBE.

Calculated values
Crystal system: tetragonal
Total energy, eV per cell: -46.03

```
Ba2Sr4Sb3F2
1.0
-2.578 2.578 13.629
2.578 -2.578 13.629
2.578 2.578 -13.629
Ba Sr Sb F
2 4 3 2
Direct
0.202 0.202 0.000
0.798 0.798 0.000
0.081 0.581 0.500
0.419 0.919 0.500
0.581 0.081 0.500
0.919 0.419 0.500
0.334 0.334 0.000
0.500 0.500 0.000
0.666 0.666 0.000
0.089 0.089 0.000
0.911 0.911 0.000
```


Li2ErIO6: optimized geometry, PBE.

Calculated values
Crystal system: trigonal
Total energy, eV per cell: -57.15

```
Li2ErIO6
1.0
2.641 1.525 4.796
-2.641 1.525 4.796
0.000 -3.049 4.796
Li Er I O
2 1 1 6
Direct
0.000 0.000 0.000
0.476 0.476 0.476
0.265 0.265 0.265
0.773 0.773 0.773
0.013 0.414 0.675
0.139 0.857 0.564
0.414 0.675 0.013
0.564 0.139 0.857
0.675 0.013 0.414
0.857 0.564 0.139
```


Ba6PPd2Cl3: optimized geometry, PBE.

Calculated values
Crystal system: monoclinic
Total energy, eV per cell: -48.83

```
Ba6PPd2Cl3
1.0
4.008 -6.947 0.000
4.008 6.947 0.000
-2.684 0.000 7.865
Ba P Pd Cl
6 1 2 3
Direct
0.074 0.404 0.224
0.255 0.255 0.776
0.404 0.074 0.224
0.596 0.926 0.776
0.745 0.745 0.224
0.926 0.596 0.776
0.000 0.000 0.000
0.333 0.667 0.000
0.667 0.333 0.000
0.162 0.838 0.500
0.500 0.500 0.500
0.838 0.162 0.500
```


La2Pr5NdDy: optimized geometry, PBE.

Calculated values
Crystal system: tetragonal
Total energy, eV per cell: -81.87
Formation energy, eV/f.u.: 2.187

```
La2Pr5NdDy
1.0
-4.423 4.423 8.292
4.423 -4.423 8.292
4.423 4.423 -8.292
La Pr Nd Dy
4 10 2 2
Direct
0.120 0.620 0.739
0.380 0.120 0.500
0.620 0.880 0.500
0.880 0.380 0.261
0.000 0.000 0.000
0.075 0.139 0.500
0.139 0.639 0.064
0.361 0.425 0.500
0.425 0.925 0.064
0.500 0.500 0.000
0.575 0.075 0.936
0.639 0.575 0.500
0.861 0.361 0.936
0.925 0.861 0.500
0.250 0.250 0.000
0.750 0.750 0.000
0.250 0.750 0.500
0.750 0.250 0.500
```


K3PuMg2O6: optimized geometry, PBE.

Calculated values
Crystal system: monoclinic
Total energy, eV per cell: -77.48

```
K3PuMg2O6
1.0
2.831 -4.913 0.000
2.831 4.913 0.000
-1.868 0.000 6.175
K Pu Mg O
3 1 2 6
Direct
0.000 0.000 0.000
0.327 0.673 0.000
0.673 0.327 0.000
0.500 0.500 0.500
0.167 0.833 0.500
0.833 0.167 0.500
0.112 0.439 0.320
0.233 0.233 0.682
0.439 0.112 0.320
0.561 0.888 0.680
0.767 0.767 0.318
0.888 0.561 0.680
```


PrPuPd2: optimized geometry, PBE.

Calculated values
Crystal system: tetragonal
Total energy, eV per cell: -31.68
Formation energy, eV/f.u.: -2.182

```
PrPuPd2
1.0
3.583 0.000 0.000
0.000 3.583 0.000
0.000 0.000 7.192
Pr Pu Pd
1 1 2
Direct
0.000 0.000 0.000
0.000 0.000 0.500
0.500 0.500 0.259
0.500 0.500 0.741
```


PuTcAs2: optimized geometry, PBE.

Calculated values
Crystal system: trigonal
Total energy, eV per cell: -108.32
Formation energy, eV/f.u.: -2.111

```
PuTcAs2
1.0
4.277 0.000 0.000
-2.138 3.704 0.000
0.000 0.000 14.154
Pu Tc As
3 3 6
Direct
0.000 0.000 0.000
0.333 0.667 0.667
0.667 0.333 0.333
0.000 0.000 0.500
0.333 0.667 0.167
0.667 0.333 0.833
0.000 0.000 0.225
0.000 0.000 0.775
0.333 0.667 0.442
0.333 0.667 0.892
0.667 0.333 0.108
0.667 0.333 0.558
```


Pr2YTl2: optimized geometry, PBE.

Calculated values
Crystal system: orthorhombic
Total energy, eV per cell: -44.51
Formation energy, eV/f.u.: -1.500

```
Pr2YTl2
1.0
4.978 0.000 0.000
0.000 7.127 0.000
0.000 0.000 8.880
Pr Y Tl
4 2 4
Direct
0.000 0.000 0.191
0.000 0.000 0.809
0.500 0.500 0.309
0.500 0.500 0.691
0.000 0.500 0.000
0.500 0.000 0.500
0.000 0.279 0.500
0.000 0.721 0.500
0.500 0.221 0.000
0.500 0.779 0.000
```


PrErZr2: optimized geometry, PBE.

Calculated values
Crystal system: tetragonal
Total energy, eV per cell: -25.51
Formation energy, eV/f.u.: 0.926

```
PrErZr2
1.0
3.963 0.000 0.000
0.000 3.963 0.000
0.000 0.000 6.988
Pr Er Zr
1 1 2
Direct
0.000 0.000 0.000
0.000 0.000 0.500
0.500 0.500 0.278
0.500 0.500 0.722
```